Record 1
First-principles (PBE-GGA) data for an optimized crystal structure of Ba2ErHgO4, as listed in Alexandria via LeMat-Bulk.

Lattice parameters (Å, degrees): 7.066 7.066 7.066 132.46 132.46 69.50
Sites, in units of the cell vectors:
Ba: 0.000 0.000 0.000
Ba: 0.750 0.250 0.500
Er: 0.500 0.500 0.000
Hg: 0.250 0.750 0.500
O: 0.169 0.184 0.567
O: 0.397 0.831 0.014
O: 0.617 0.603 0.433
O: 0.816 0.383 0.986

Values from the calculation:
The value obtained for the formation energy (no corrections) is -2206 meV/atom.

Record 2
First-principles (PBE-GGA) data for an optimized crystal structure of Ba3ErHg2O6, as listed in Alexandria via LeMat-Bulk.

Lattice parameters (Å, degrees): 6.309 6.309 6.994 90.00 90.00 120.00
Sites, in units of the cell vectors:
Ba: 0.000 0.000 0.000
Ba: 0.333 0.667 0.615
Ba: 0.667 0.333 0.385
Er: 0.000 0.000 0.500
Hg: 0.333 0.667 0.131
Hg: 0.667 0.333 0.869
O: 0.163 0.326 0.313
O: 0.163 0.837 0.313
O: 0.326 0.163 0.687
O: 0.674 0.837 0.313
O: 0.837 0.163 0.687
O: 0.837 0.674 0.687

Values from the calculation:
The value obtained for the formation energy (no corrections) is -1923 meV/atom.

Record 3
First-principles (PBE-GGA) data for an optimized crystal structure of BaEr2Hg2Pb2, as listed in Alexandria via LeMat-Bulk.

Lattice parameters (Å, degrees): 10.032 10.032 10.032 29.87 29.87 29.87
Sites, in units of the cell vectors:
Ba: 0.000 0.000 0.000
Er: 0.136 0.136 0.136
Er: 0.864 0.864 0.864
Hg: 0.444 0.444 0.444
Hg: 0.556 0.556 0.556
Pb: 0.257 0.257 0.257
Pb: 0.743 0.743 0.743

Values from the calculation:
The formation energy comes out at -305 meV/atom.

Record 4
First-principles (PBE-GGA) data for an optimized crystal structure of Ba2ErHgSe5, as listed in Alexandria via LeMat-Bulk.

Lattice parameters (Å, degrees): 9.834 9.834 13.288 90.00 90.00 154.78
Sites, in units of the cell vectors:
Ba: 0.119 0.881 0.500
Ba: 0.132 0.868 0.126
Ba: 0.868 0.132 0.626
Ba: 0.881 0.119 0.000
Er: 0.208 0.792 0.822
Er: 0.792 0.208 0.322
Hg: 0.458 0.542 0.254
Hg: 0.542 0.458 0.754
Se: 0.057 0.943 0.871
Se: 0.293 0.707 0.466
Se: 0.307 0.693 0.178
Se: 0.352 0.648 0.816
Se: 0.495 0.505 0.573
Se: 0.505 0.495 0.073
Se: 0.648 0.352 0.316
Se: 0.693 0.307 0.678
Se: 0.707 0.293 0.966
Se: 0.943 0.057 0.371

Values from the calculation:
The value obtained for the formation energy (no corrections) is -1440 meV/atom.

Record 5
First-principles (PBE-GGA) data for an optimized crystal structure of BaErTlHg, as listed in Alexandria via LeMat-Bulk.

Lattice parameters (Å, degrees): 5.665 5.665 5.665 60.00 60.00 60.00
Sites, in units of the cell vectors:
Ba: 0.000 0.000 0.000
Er: 0.500 0.500 0.500
Tl: 0.250 0.250 0.250
Hg: 0.750 0.750 0.750

Values from the calculation:
The formation energy comes out at -302 meV/atom.

Record 6
First-principles (PBE-GGA) data for an optimized crystal structure of Ba2Ho3ErO8, as listed in Alexandria via LeMat-Bulk.

Lattice parameters (Å, degrees): 7.227 7.227 7.227 57.64 57.64 57.64
Sites, in units of the cell vectors:
Ba: 0.000 0.000 0.000
Ba: 0.379 0.379 0.379
Ho: 0.005 0.005 0.492
Ho: 0.005 0.492 0.005
Ho: 0.492 0.005 0.005
Er: 0.618 0.618 0.618
O: 0.232 0.232 0.232
O: 0.243 0.737 0.737
O: 0.251 0.251 0.812
O: 0.251 0.812 0.251
O: 0.737 0.243 0.737
O: 0.737 0.737 0.243
O: 0.757 0.757 0.757
O: 0.812 0.251 0.251

Values from the calculation:
The value obtained for the formation energy (no corrections) is -3172 meV/atom.

Record 7
First-principles (PBE-GGA) data for an optimized crystal structure of Ba2HoErS4, as listed in Alexandria via LeMat-Bulk.

Lattice parameters (Å, degrees): 7.072 4.096 7.518 90.00 108.38 90.00
Sites, in units of the cell vectors:
Ba: 0.000 0.000 0.000
Ba: 0.500 0.500 0.000
Ho: 0.000 0.500 0.500
Er: 0.500 0.000 0.500
S: 0.237 0.000 0.706
S: 0.265 0.500 0.294
S: 0.735 0.500 0.706
S: 0.763 0.000 0.294

Values from the calculation:
The value obtained for the formation energy (no corrections) is -1997 meV/atom.

Record 8
First-principles (PBE-GGA) data for an optimized crystal structure of BaHoEr4Se8, as listed in Alexandria via LeMat-Bulk.

Lattice parameters (Å, degrees): 8.562 8.562 8.562 59.86 59.86 59.86
Sites, in units of the cell vectors:
Ba: 0.000 0.000 0.000
Ho: 0.372 0.372 0.372
Er: 0.373 0.373 0.879
Er: 0.373 0.879 0.373
Er: 0.749 0.749 0.749
Er: 0.879 0.373 0.373
Se: 0.141 0.141 0.572
Se: 0.141 0.572 0.141
Se: 0.142 0.142 0.142
Se: 0.145 0.617 0.617
Se: 0.572 0.141 0.141
Se: 0.617 0.145 0.617
Se: 0.617 0.617 0.145
Se: 0.617 0.617 0.617

Values from the calculation:
The value obtained for the formation energy (no corrections) is -1754 meV/atom.

Record 9
First-principles (PBE-GGA) data for an optimized crystal structure of Ba3HoEr3Se8, as listed in Alexandria via LeMat-Bulk.

Lattice parameters (Å, degrees): 8.942 8.942 8.942 55.81 55.81 55.81
Sites, in units of the cell vectors:
Ba: 0.000 0.500 0.500
Ba: 0.500 0.000 0.500
Ba: 0.500 0.500 0.000
Ho: 0.500 0.500 0.500
Er: 0.000 0.000 0.500
Er: 0.000 0.500 0.000
Er: 0.500 0.000 0.000
Se: 0.233 0.738 0.738
Se: 0.237 0.237 0.237
Se: 0.262 0.262 0.767
Se: 0.262 0.767 0.262
Se: 0.738 0.233 0.738
Se: 0.738 0.738 0.233
Se: 0.763 0.763 0.763
Se: 0.767 0.262 0.262

Values from the calculation:
The value obtained for the formation energy (no corrections) is -1912 meV/atom.

Record 10
First-principles (PBE-GGA) data for an optimized crystal structure of Ba3Ho3ErSe8, as listed in Alexandria via LeMat-Bulk.

Lattice parameters (Å, degrees): 8.954 8.954 8.954 55.85 55.85 55.85
Sites, in units of the cell vectors:
Ba: 0.000 0.500 0.500
Ba: 0.500 0.000 0.500
Ba: 0.500 0.500 0.000
Ho: 0.000 0.000 0.500
Ho: 0.000 0.500 0.000
Ho: 0.500 0.000 0.000
Er: 0.500 0.500 0.500
Se: 0.235 0.737 0.737
Se: 0.237 0.237 0.237
Se: 0.263 0.263 0.765
Se: 0.263 0.765 0.263
Se: 0.737 0.235 0.737
Se: 0.737 0.737 0.235
Se: 0.763 0.763 0.763
Se: 0.765 0.263 0.263

Values from the calculation:
The value obtained for the formation energy (no corrections) is -1917 meV/atom.

Record 11
First-principles (PBE-GGA) data for an optimized crystal structure of Ba3HoEr3Te8, as listed in Alexandria via LeMat-Bulk.

Lattice parameters (Å, degrees): 9.502 9.502 9.502 56.14 56.14 56.14
Sites, in units of the cell vectors:
Ba: 0.000 0.500 0.500
Ba: 0.500 0.000 0.500
Ba: 0.500 0.500 0.000
Ho: 0.500 0.500 0.500
Er: 0.000 0.000 0.500
Er: 0.000 0.500 0.000
Er: 0.500 0.000 0.000
Te: 0.233 0.741 0.741
Te: 0.238 0.238 0.238
Te: 0.259 0.259 0.767
Te: 0.259 0.767 0.259
Te: 0.741 0.233 0.741
Te: 0.741 0.741 0.233
Te: 0.762 0.762 0.762
Te: 0.767 0.259 0.259

Values from the calculation:
The value obtained for the formation energy (no corrections) is -1511 meV/atom.

Record 12
First-principles (PBE-GGA) data for an optimized crystal structure of Ba2ErI, as listed in Alexandria via LeMat-Bulk.

Lattice parameters (Å, degrees): 12.827 12.827 12.827 18.06 18.06 18.06
Sites, in units of the cell vectors:
Ba: 0.096 0.096 0.096
Ba: 0.904 0.904 0.904
Er: 0.000 0.000 0.000
I: 0.500 0.500 0.500

Values from the calculation:
The value obtained for the formation energy (no corrections) is -196 meV/atom.

Record 13
First-principles (PBE-GGA) data for an optimized crystal structure of BaLiErI6, as listed in Alexandria via LeMat-Bulk.

Lattice parameters (Å, degrees): 7.807 7.807 14.999 90.00 90.00 120.00
Sites, in units of the cell vectors:
Ba: 0.000 0.000 0.000
Ba: 0.000 0.000 0.500
Li: 0.333 0.667 0.250
Li: 0.667 0.333 0.750
Er: 0.333 0.667 0.750
Er: 0.667 0.333 0.250
I: 0.000 0.365 0.135
I: 0.000 0.365 0.635
I: 0.000 0.635 0.365
I: 0.000 0.635 0.865
I: 0.365 0.000 0.135
I: 0.365 0.000 0.635
I: 0.365 0.365 0.365
I: 0.365 0.365 0.865
I: 0.635 0.000 0.365
I: 0.635 0.000 0.865
I: 0.635 0.635 0.135
I: 0.635 0.635 0.635

Values from the calculation:
The value obtained for the formation energy (no corrections) is -1446 meV/atom.

Record 14
First-principles (PBE-GGA) data for an optimized crystal structure of BaNaErI6, as listed in Alexandria via LeMat-Bulk.

Lattice parameters (Å, degrees): 8.079 8.079 14.793 90.00 90.00 120.00
Sites, in units of the cell vectors:
Ba: 0.000 0.000 0.000
Ba: 0.000 0.000 0.500
Na: 0.333 0.667 0.250
Na: 0.667 0.333 0.750
Er: 0.333 0.667 0.750
Er: 0.667 0.333 0.250
I: 0.020 0.369 0.632
I: 0.020 0.650 0.868
I: 0.350 0.369 0.868
I: 0.350 0.980 0.632
I: 0.369 0.020 0.132
I: 0.369 0.350 0.368
I: 0.631 0.650 0.632
I: 0.631 0.980 0.868
I: 0.650 0.020 0.368
I: 0.650 0.631 0.132
I: 0.980 0.350 0.132
I: 0.980 0.631 0.368

Values from the calculation:
The value obtained for the formation energy (no corrections) is -1463 meV/atom.

Record 15
First-principles (PBE-GGA) data for an optimized crystal structure of BaErIO6, as listed in Alexandria via LeMat-Bulk.

Lattice parameters (Å, degrees): 5.639 5.639 5.636 90.00 90.00 120.00
Sites, in units of the cell vectors:
Ba: 0.000 0.000 0.000
Er: 0.333 0.667 0.500
I: 0.667 0.333 0.500
O: 0.401 0.044 0.695
O: 0.401 0.357 0.305
O: 0.643 0.044 0.305
O: 0.643 0.599 0.695
O: 0.956 0.357 0.695
O: 0.956 0.599 0.305

Values from the calculation:
The value obtained for the formation energy (no corrections) is -1921 meV/atom.

Record 16
First-principles (PBE-GGA) data for an optimized crystal structure of BaErTlI6, as listed in Alexandria via LeMat-Bulk.

Lattice parameters (Å, degrees): 8.446 8.446 14.677 90.00 90.00 120.00
Sites, in units of the cell vectors:
Ba: 0.333 0.667 0.250
Ba: 0.667 0.333 0.750
Er: 0.333 0.667 0.750
Er: 0.667 0.333 0.250
Tl: 0.000 0.000 0.000
Tl: 0.000 0.000 0.500
I: 0.040 0.378 0.629
I: 0.040 0.662 0.871
I: 0.338 0.378 0.871
I: 0.338 0.960 0.629
I: 0.378 0.040 0.129
I: 0.378 0.338 0.371
I: 0.622 0.662 0.629
I: 0.622 0.960 0.871
I: 0.662 0.040 0.371
I: 0.662 0.622 0.129
I: 0.960 0.338 0.129
I: 0.960 0.622 0.371

Values from the calculation:
The value obtained for the formation energy (no corrections) is -1343 meV/atom.

Record 17
First-principles (PBE-GGA) data for an optimized crystal structure of BaErIn, as listed in Alexandria via LeMat-Bulk.

Lattice parameters (Å, degrees): 5.522 5.522 4.134 90.00 90.00 120.00
Sites, in units of the cell vectors:
Ba: 0.000 0.000 0.000
Er: 0.667 0.333 0.501
In: 0.333 0.667 0.498

Values from the calculation:
The formation energy comes out at -96 meV/atom.

Record 18
First-principles (PBE-GGA) data for an optimized crystal structure of Ba3ErIn4, as listed in Alexandria via LeMat-Bulk.

Lattice parameters (Å, degrees): 4.069 4.069 17.054 90.00 90.00 90.00
Sites, in units of the cell vectors:
Ba: 0.000 0.000 0.000
Ba: 0.000 0.000 0.266
Ba: 0.000 0.000 0.734
Er: 0.000 0.000 0.500
In: 0.500 0.500 0.130
In: 0.500 0.500 0.406
In: 0.500 0.500 0.594
In: 0.500 0.500 0.870

Values from the calculation:
The formation energy comes out at -383 meV/atom.

Record 19
First-principles (PBE-GGA) data for an optimized crystal structure of BaErIn, as listed in Alexandria via LeMat-Bulk.

Lattice parameters (Å, degrees): 5.222 5.222 8.346 90.00 90.00 90.00
Sites, in units of the cell vectors:
Ba: 0.250 0.250 0.144
Ba: 0.750 0.750 0.856
Er: 0.250 0.750 0.500
Er: 0.750 0.250 0.500
In: 0.250 0.250 0.713
In: 0.750 0.750 0.287

Values from the calculation:
The formation energy comes out at -315 meV/atom.

Record 20
First-principles (PBE-GGA) data for an optimized crystal structure of BaErIn4, as listed in Alexandria via LeMat-Bulk.

Lattice parameters (Å, degrees): 6.222 6.222 6.222 60.00 60.00 60.00
Sites, in units of the cell vectors:
Ba: 0.000 0.000 0.000
Er: 0.750 0.750 0.750
In: 0.375 0.375 0.375
In: 0.375 0.375 0.874
In: 0.375 0.874 0.375
In: 0.874 0.375 0.375

Values from the calculation:
The formation energy comes out at -281 meV/atom.

Record 21
First-principles (PBE-GGA) data for an optimized crystal structure of BaErIn, as listed in Alexandria via LeMat-Bulk.

Lattice parameters (Å, degrees): 7.466 7.466 7.466 149.07 149.07 44.30
Sites, in units of the cell vectors:
Ba: 0.000 0.000 0.000
Er: 0.281 0.281 0.000
In: 0.678 0.678 0.000

Values from the calculation:
The formation energy comes out at -171 meV/atom.

Record 22
First-principles (PBE-GGA) data for an optimized crystal structure of Ba2ErIn, as listed in Alexandria via LeMat-Bulk.

Lattice parameters (Å, degrees): 13.070 13.070 13.070 16.84 16.84 16.84
Sites, in units of the cell vectors:
Ba: 0.093 0.093 0.093
Ba: 0.907 0.907 0.907
Er: 0.000 0.000 0.000
In: 0.500 0.500 0.500

Values from the calculation:
The formation energy comes out at 231 meV/atom.